A plane-wave DFT calculation with PBE was carried out for an optimized crystal structure of TiZn3I.

extended XYZ file:
```
5
Lattice="5.317 0.000 0.000 0.000 5.317 0.000 0.000 0.000 5.317" Properties=species:S:1:pos:R:3 pbc="T T T"
I 2.659 2.659 2.659
Zn 0.000 2.659 0.000
Zn 0.000 0.000 2.659
Zn 2.659 0.000 0.000
Ti 0.000 0.000 0.000
```

Properties
- offset from the most stable computed form (meV/atom) = 0
- formation energy without anion corrections (kJ per mole of atoms) = 65.1
- calculated total energy (eV per cell) = -9.89
- total moment (Bohr magnetons per cell) = 2.7

=====

A plane-wave DFT calculation with PBE was carried out for an optimized crystal structure of SbIr4.

extended XYZ file:
```
5
Lattice="-2.908 2.908 2.908 2.908 -2.908 2.908 2.908 2.908 -2.908" Properties=species:S:1:pos:R:3 pbc="T T T"
Sb 0.000 0.000 0.000
Ir 1.454 -1.454 1.454
Ir 1.454 1.454 -1.454
Ir 1.454 1.454 1.454
Ir -1.454 1.454 1.454
```

Properties
- offset from the most stable computed form (meV/atom) = 974
- formation energy without anion corrections (kJ per mole of atoms) = 112.3
- calculated total energy (eV per cell) = -33.75
- total moment (Bohr magnetons per cell) = 0.0

=====

A plane-wave DFT calculation with PBE was carried out for an optimized crystal structure of Dy5RhAu4.

extended XYZ file:
```
10
Lattice="-2.738 -2.000 -1.070 -0.505 -1.098 3.344 -11.139 13.739 2.830" Properties=species:S:1:pos:R:3 pbc="T T T"
Dy -2.647 -0.284 1.397
Dy -4.911 2.508 1.973
Dy -7.191 5.320 2.552
Dy -9.472 8.133 3.132
Dy -11.735 10.925 3.707
Rh 0.000 0.000 0.000
Au -2.162 2.666 0.549
Au -4.441 5.477 1.128
Au -6.698 8.262 1.702
Au -8.977 11.072 2.281
```

Properties
- formation energy from the elements (meV per atom) = -861
- calculated total energy (eV per cell) = -52.08
- total moment (Bohr magnetons per cell) = 0.0

=====

A plane-wave DFT calculation with PBE was carried out for an optimized crystal structure of CaMnP2.

extended XYZ file:
```
16
Lattice="-16.075 0.160 12.730 1.315 -2.912 1.697 1.912 2.255 2.387" Properties=species:S:1:pos:R:3 pbc="T T T"
Ca -0.145 0.874 3.539
Ca -4.848 -1.666 6.682
Ca -12.703 -1.371 13.274
Ca -8.000 1.168 10.131
Mn -3.331 -0.230 4.114
Mn -1.660 -0.559 6.110
Mn -9.517 -0.267 12.700
Mn -11.188 0.062 10.703
P 0.632 -0.305 0.914
P -5.683 -0.555 9.234
P -13.480 -0.192 15.899
P -7.165 0.058 7.579
P -3.404 0.907 6.122
P -1.587 -1.697 4.102
P -9.443 -1.405 10.691
P -11.261 1.200 12.712
```

Properties
- offset from the most stable computed form (meV/atom) = 0
- formation energy from the elements (meV per atom) = -756
- calculated total energy (eV per cell) = -100.05
- total moment (Bohr magnetons per cell) = 5.8

=====

A plane-wave DFT calculation with PBE was carried out for an optimized crystal structure of MoPb2Br.

extended XYZ file:
```
4
Lattice="-0.906 -1.829 -2.541 -0.363 -2.566 1.976 -9.000 2.410 1.473" Properties=species:S:1:pos:R:3 pbc="T T T"
Pb -8.505 2.277 1.392
Pb -2.910 -1.588 0.090
Mo -7.151 -0.453 0.785
Br -5.203 1.393 0.852
```

Properties
- offset from the most stable computed form (meV/atom) = 166
- formation energy without anion corrections (kJ per mole of atoms) = 40.1
- calculated total energy (eV per cell) = -18.26
- total moment (Bohr magnetons per cell) = 0.3

=====

A plane-wave DFT calculation with PBE was carried out for an optimized crystal structure of K2RuRh.

extended XYZ file:
```
4
Lattice="6.147 0.002 0.000 3.573 5.002 0.000 -4.860 -2.502 2.811" Properties=species:S:1:pos:R:3 pbc="T T T"
K 0.000 0.000 0.000
K 4.860 2.502 0.000
Rh 1.787 2.501 1.406
Ru 3.074 0.001 1.406
```

Properties
- offset from the most stable computed form (meV/atom) = 532
- formation energy from the elements (meV per atom) = 1065
- calculated total energy (eV per cell) = -14.56
- total moment (Bohr magnetons per cell) = 2.3

=====

A plane-wave DFT calculation with PBE was carried out for an optimized crystal structure of Sc5Tl.

extended XYZ file:
```
6
Lattice="-2.976 -4.220 -2.341 0.531 0.308 5.636 -4.278 2.881 0.245" Properties=species:S:1:pos:R:3 pbc="T T T"
Sc -0.035 -0.050 -0.028
Sc -1.778 -2.664 0.279
Sc -0.632 -1.198 3.044
Sc -1.962 1.543 2.002
Sc -3.769 -1.168 2.320
Tl -3.131 0.033 -0.658
```

Properties
- offset from the most stable computed form (meV/atom) = 63
- formation energy from the elements (meV per atom) = -59
- calculated total energy (eV per cell) = -34.38
- total moment (Bohr magnetons per cell) = 1.0

=====

A plane-wave DFT calculation with PBE was carried out for an optimized crystal structure of Nd2Sn4Pd3.

extended XYZ file:
```
9
Lattice="-2.085 -3.898 -4.044 5.862 0.515 1.125 -2.394 -2.998 6.240" Properties=species:S:1:pos:R:3 pbc="T T T"
Nd 1.754 -2.938 -0.188
Nd -0.371 -3.442 3.509
Sn 2.327 -1.700 4.982
Sn -3.013 -4.665 1.508
Sn -0.944 -4.680 -1.660
Sn 4.396 -1.715 1.813
Pd -1.042 -1.949 -2.022
Pd 0.000 0.000 0.000
Pd 2.931 0.258 0.563
```

Properties
- formation energy from the elements (meV per atom) = -644
- calculated total energy (eV per cell) = -46.92
- total moment (Bohr magnetons per cell) = 0.0

=====

A plane-wave DFT calculation with PBE was carried out for an optimized crystal structure of LiCd2AuBr.

extended XYZ file:
```
5
Lattice="5.193 0.000 0.000 0.000 7.060 0.000 0.000 0.000 5.193" Properties=species:S:1:pos:R:3 pbc="T T T"
Li 2.596 3.530 2.596
Au 0.000 0.000 0.000
Br 0.000 3.530 0.000
Cd 0.000 0.000 2.596
Cd 2.596 0.000 0.000
```

Properties
- offset from the most stable computed form (meV/atom) = 0
- formation energy without anion corrections (kJ per mole of atoms) = -8.2
- calculated total energy (eV per cell) = -9.12
- total moment (Bohr magnetons per cell) = 0.0

=====

A plane-wave DFT calculation with PBE was carried out for an optimized crystal structure of La2Sc.

extended XYZ file:
```
3
Lattice="-2.291 -5.196 -0.201 4.183 1.401 -3.580 2.327 -1.114 2.283" Properties=species:S:1:pos:R:3 pbc="T T T"
La 0.129 -0.062 0.126
La 1.290 -3.678 0.068
Sc 2.801 -1.169 -1.693
```

Properties
- offset from the most stable computed form (meV/atom) = 77
- formation energy from the elements (meV per atom) = 129
- calculated total energy (eV per cell) = -15.80
- total moment (Bohr magnetons per cell) = 0.0

=====

A plane-wave DFT calculation with PBE was carried out for an optimized crystal structure of K2Sn4Pd3Pt.

extended XYZ file:
```
10
Lattice="-1.780 -4.422 -0.249 2.871 -0.948 -3.693 7.554 -3.421 6.751" Properties=species:S:1:pos:R:3 pbc="T T T"
K 1.056 -3.092 1.615
K 7.043 -3.013 3.165
Sn 0.546 -2.685 -1.971
Sn 0.000 0.000 0.000
Sn 3.776 -4.324 4.046
Sn 4.324 -1.782 0.734
Pd 3.777 -1.710 3.376
Pd 5.695 -5.193 5.761
Pd 2.405 -0.913 -0.980
Pt 4.323 -4.395 1.405
```

Properties
- formation energy from the elements (meV per atom) = -431
- calculated total energy (eV per cell) = -44.13
- total moment (Bohr magnetons per cell) = 0.0

=====

A plane-wave DFT calculation with PBE was carried out for an optimized crystal structure of ScReOs2.

extended XYZ file:
```
4
Lattice="-1.644 2.606 -0.044 -2.425 -1.549 -1.104 -2.051 -1.190 6.175" Properties=species:S:1:pos:R:3 pbc="T T T"
Os -0.005 -0.003 0.014
Os -2.560 0.224 1.008
Re -0.996 -0.578 3.000
Sc -3.584 -0.371 4.093
```

Properties
- formation energy from the elements (meV per atom) = 168
- calculated total energy (eV per cell) = -40.57
- total moment (Bohr magnetons per cell) = 0.0